Record 1
VASP calculation (PBE-GGA) on Be2TlAu after structural relaxation.

Computed properties:
SG   C2/m, No. 12
Total magnetic moment   0.0 μB per formula unit
Relative energy among the computed polymorphs   0.0 meV/atom

abc: 4.067 4.067 5.757
angles: 110.11 110.11 60.01
Sites, in units of the cell vectors:
Be 0.170 0.170 0.009
Be 0.830 0.830 0.991
Tl 0.000 0.000 0.500
Au 0.500 0.500 0.000


Record 2
VASP calculation (PBE-GGA) on Be2TlAu2 after structural relaxation.

Computed properties:
SG   P4/mbm, No. 127
Total magnetic moment   0.0 μB per formula unit
Relative energy among the computed polymorphs   151.9 meV/atom

abc: 7.239 7.239 3.049
angles: 90.00 90.00 90.00
Sites, in units of the cell vectors:
Be 0.129 0.371 0.000
Be 0.371 0.871 0.000
Be 0.629 0.129 0.000
Be 0.871 0.629 0.000
Tl 0.000 0.000 0.000
Tl 0.500 0.500 0.000
Au 0.148 0.648 0.500
Au 0.352 0.148 0.500
Au 0.648 0.852 0.500
Au 0.852 0.352 0.500


Record 3
VASP calculation (PBE-GGA) on Be2TlAu after structural relaxation.

Computed properties:
SG   Immm, No. 71
Total magnetic moment   0.0 μB per formula unit
Relative energy among the computed polymorphs   295.3 meV/atom

abc: 4.514 4.514 4.514
angles: 124.84 102.83 101.93
Sites, in units of the cell vectors:
Be 0.205 0.205 0.000
Be 0.795 0.795 0.000
Tl 0.500 0.000 0.500
Au 0.000 0.500 0.500


Record 4
VASP calculation (PBE-GGA) on Be2TlAu after structural relaxation.

Computed properties:
SG   Imm2, No. 44
Total magnetic moment   0.0 μB per formula unit
Relative energy among the computed polymorphs   184.8 meV/atom

abc: 6.549 6.549 6.549
angles: 153.95 146.25 43.13
Sites, in units of the cell vectors:
Be 0.000 0.000 0.000
Be 0.853 0.353 0.500
Tl 0.216 0.716 0.500
Au 0.480 0.480 0.000


Record 5
VASP calculation (PBE-GGA) on TmBe4Au8 after structural relaxation.

Computed properties:
SG   I4/mmm, No. 139
Total magnetic moment   0.0 μB per formula unit

abc: 6.790 6.790 6.790
angles: 98.70 98.70 134.21
Sites, in units of the cell vectors:
Tm 0.000 0.000 0.000
Be 0.000 0.000 0.500
Be 0.000 0.500 0.000
Be 0.500 0.000 0.000
Be 0.500 0.500 0.500
Au 0.000 0.324 0.324
Au 0.000 0.676 0.676
Au 0.277 0.500 0.777
Au 0.324 0.000 0.324
Au 0.500 0.277 0.777
Au 0.500 0.723 0.223
Au 0.676 0.000 0.676
Au 0.723 0.500 0.223


Record 6
VASP calculation (PBE-GGA) on Tm2BeAu after structural relaxation.

Computed properties:
SG   P4/mmm, No. 123
Total magnetic moment   0.0 μB per formula unit
Relative energy among the computed polymorphs   0.0 meV/atom

abc: 3.489 3.489 6.787
angles: 90.00 90.00 90.00
Sites, in units of the cell vectors:
Tm 0.000 0.000 0.238
Tm 0.000 0.000 0.762
Be 0.500 0.500 0.000
Au 0.500 0.500 0.500


Record 7
VASP calculation (PBE-GGA) on TmBe5Au7 after structural relaxation.

Computed properties:
SG   Imm2, No. 44
Total magnetic moment   0.0 μB per formula unit

abc: 6.711 6.711 6.711
angles: 136.02 98.73 97.39
Sites, in units of the cell vectors:
Tm 0.000 0.000 0.000
Be 0.488 0.489 0.506
Be 0.488 0.982 0.999
Be 0.759 0.259 0.500
Be 0.983 0.489 0.001
Be 0.983 0.982 0.494
Au 0.152 0.462 0.690
Au 0.219 0.719 0.500
Au 0.340 0.340 0.000
Au 0.355 0.017 0.338
Au 0.674 0.674 0.000
Au 0.680 0.017 0.662
Au 0.771 0.462 0.310


Record 8
VASP calculation (PBE-GGA) on TmBeAu after structural relaxation.

Computed properties:
SG   P-6m2, No. 187
Total magnetic moment   0.0 μB per formula unit

abc: 4.179 4.179 3.697
angles: 90.00 90.00 120.00
Sites, in units of the cell vectors:
Tm 0.000 0.000 0.000
Be 0.333 0.667 0.500
Au 0.667 0.333 0.500


Record 9
VASP calculation (PBE-GGA) on TmBe2Au8 after structural relaxation.

Computed properties:
SG   C2/m, No. 12
Total magnetic moment   0.0 μB per formula unit

abc: 6.935 6.935 4.440
angles: 99.91 99.91 110.20
Sites, in units of the cell vectors:
Tm 0.000 0.000 0.000
Be 0.323 0.677 0.500
Be 0.677 0.323 0.500
Au 0.059 0.327 0.591
Au 0.255 0.745 0.000
Au 0.327 0.059 0.591
Au 0.381 0.381 0.184
Au 0.619 0.619 0.816
Au 0.673 0.941 0.409
Au 0.745 0.255 0.000
Au 0.941 0.673 0.409


Record 10
VASP calculation (PBE-GGA) on TmBe6Au12 after structural relaxation.

Computed properties:
SG   Im-3, No. 204
Total magnetic moment   0.0 μB per formula unit

abc: 7.339 7.339 7.339
angles: 109.47 109.47 109.47
Sites, in units of the cell vectors:
Tm 0.000 0.000 0.000
Be 0.129 0.500 0.629
Be 0.371 0.871 0.500
Be 0.500 0.371 0.871
Be 0.500 0.629 0.129
Be 0.629 0.129 0.500
Be 0.871 0.500 0.371
Au 0.134 0.307 0.827
Au 0.173 0.480 0.307
Au 0.173 0.866 0.693
Au 0.307 0.173 0.480
Au 0.307 0.827 0.134
Au 0.480 0.307 0.173
Au 0.520 0.693 0.827
Au 0.693 0.173 0.866
Au 0.693 0.827 0.520
Au 0.827 0.134 0.307
Au 0.827 0.520 0.693
Au 0.866 0.693 0.173


Record 11
VASP calculation (PBE-GGA) on TmBe4Au12 after structural relaxation.

Computed properties:
SG   Im-3, No. 204
Total magnetic moment   0.0 μB per formula unit

abc: 7.300 7.300 7.300
angles: 109.47 109.47 109.47
Sites, in units of the cell vectors:
Tm 0.000 0.000 0.000
Be 0.000 0.000 0.500
Be 0.000 0.500 0.000
Be 0.500 0.000 0.000
Be 0.500 0.500 0.500
Au 0.161 0.831 0.330
Au 0.169 0.330 0.499
Au 0.169 0.670 0.839
Au 0.330 0.161 0.831
Au 0.330 0.499 0.169
Au 0.499 0.169 0.330
Au 0.501 0.831 0.670
Au 0.670 0.501 0.831
Au 0.670 0.839 0.169
Au 0.831 0.330 0.161
Au 0.831 0.670 0.501
Au 0.839 0.169 0.670


Record 12
VASP calculation (PBE-GGA) on Tm2BeAu after structural relaxation.

Computed properties:
SG   Fm-3m, No. 225
Total magnetic moment   0.0 μB per formula unit
Relative energy among the computed polymorphs   40.0 meV/atom

abc: 4.921 4.921 4.921
angles: 60.00 60.00 60.00
Sites, in units of the cell vectors:
Tm 0.250 0.250 0.250
Tm 0.750 0.750 0.750
Be 0.000 0.000 0.000
Au 0.500 0.500 0.500


Record 13
VASP calculation (PBE-GGA) on TmBeZn2Au4 after structural relaxation.

Computed properties:
SG   R-3m, No. 166
Total magnetic moment   0.0 μB per formula unit

abc: 8.338 8.338 8.338
angles: 31.20 31.20 31.20
Sites, in units of the cell vectors:
Tm 0.000 0.000 0.000
Be 0.500 0.500 0.500
Zn 0.251 0.251 0.251
Zn 0.749 0.749 0.749
Au 0.135 0.135 0.135
Au 0.397 0.397 0.397
Au 0.603 0.603 0.603
Au 0.865 0.865 0.865


Record 14
VASP calculation (PBE-GGA) on Tm2Be3ZnAu4 after structural relaxation.

Computed properties:
SG   P-4m2, No. 115
Total magnetic moment   0.0 μB per formula unit

abc: 4.278 4.278 9.348
angles: 90.00 90.00 90.00
Sites, in units of the cell vectors:
Tm 0.000 0.500 0.250
Tm 0.500 0.000 0.750
Be 0.000 0.000 0.000
Be 0.000 0.500 0.612
Be 0.500 0.000 0.388
Zn 0.500 0.500 0.000
Au 0.000 0.000 0.500
Au 0.000 0.500 0.854
Au 0.500 0.000 0.146
Au 0.500 0.500 0.500


Record 15
VASP calculation (PBE-GGA) on UBe4Au8 after structural relaxation.

Computed properties:
SG   I4/mmm, No. 139
Total magnetic moment   2.5 μB per formula unit

abc: 6.834 6.834 6.834
angles: 98.57 98.57 134.59
Sites, in units of the cell vectors:
U 0.000 0.000 0.000
Be 0.000 0.000 0.500
Be 0.000 0.500 0.000
Be 0.500 0.000 0.000
Be 0.500 0.500 0.500
Au 0.000 0.328 0.328
Au 0.000 0.672 0.672
Au 0.278 0.500 0.778
Au 0.328 0.000 0.328
Au 0.500 0.278 0.778
Au 0.500 0.722 0.222
Au 0.672 0.000 0.672
Au 0.722 0.500 0.222


Record 16
VASP calculation (PBE-GGA) on UBe5Au7 after structural relaxation.

Computed properties:
SG   Imm2, No. 44
Total magnetic moment   2.5 μB per formula unit

abc: 6.771 6.771 6.771
angles: 136.51 97.75 98.03
Sites, in units of the cell vectors:
U 0.000 0.000 0.000
Be 0.490 0.491 0.510
Be 0.490 0.980 0.999
Be 0.762 0.262 0.500
Be 0.982 0.491 0.001
Be 0.982 0.980 0.490
Au 0.157 0.463 0.694
Au 0.218 0.718 0.500
Au 0.344 0.344 0.000
Au 0.360 0.019 0.341
Au 0.674 0.674 0.000
Au 0.678 0.019 0.659
Au 0.768 0.463 0.306


Record 17
VASP calculation (PBE-GGA) on U2Be7Au12 after structural relaxation.

Computed properties:
SG   P-3, No. 147
Total magnetic moment   5.4 μB per formula unit

abc: 9.883 9.883 4.029
angles: 90.00 90.00 120.00
Sites, in units of the cell vectors:
U 0.333 0.667 0.252
U 0.667 0.333 0.748
Be 0.000 0.000 0.000
Be 0.109 0.396 0.753
Be 0.287 0.891 0.753
Be 0.396 0.287 0.247
Be 0.604 0.713 0.753
Be 0.713 0.109 0.247
Be 0.891 0.604 0.247
Au 0.081 0.622 0.749
Au 0.122 0.863 0.253
Au 0.137 0.259 0.253
Au 0.259 0.122 0.747
Au 0.378 0.460 0.749
Au 0.460 0.081 0.251
Au 0.540 0.919 0.749
Au 0.622 0.540 0.251
Au 0.741 0.878 0.253
Au 0.863 0.741 0.747
Au 0.878 0.137 0.747
Au 0.919 0.378 0.251


Record 18
VASP calculation (PBE-GGA) on BeV3Au after structural relaxation.

Computed properties:
SG   Pm-3m, No. 221
Total magnetic moment   1.4 μB per formula unit
Relative energy among the computed polymorphs   0.0 meV/atom

abc: 4.128 4.128 4.128
angles: 90.00 90.00 90.00
Sites, in units of the cell vectors:
Be 0.000 0.000 0.000
V 0.000 0.000 0.500
V 0.000 0.500 0.000
V 0.500 0.000 0.000
Au 0.500 0.500 0.500


Record 19
VASP calculation (PBE-GGA) on Be9VAu2 after structural relaxation.

Computed properties:
SG   R-3m, No. 166
Total magnetic moment   2.1 μB per formula unit

abc: 7.634 7.634 7.634
angles: 33.46 33.46 33.46
Sites, in units of the cell vectors:
Be 0.000 0.000 0.000
Be 0.078 0.078 0.582
Be 0.078 0.582 0.078
Be 0.168 0.168 0.168
Be 0.418 0.922 0.922
Be 0.582 0.078 0.078
Be 0.832 0.832 0.832
Be 0.922 0.418 0.922
Be 0.922 0.922 0.418
V 0.500 0.500 0.500
Au 0.366 0.366 0.366
Au 0.634 0.634 0.634


Record 20
VASP calculation (PBE-GGA) on BeVAu2 after structural relaxation.

Computed properties:
SG   R-3m, No. 166
Total magnetic moment   1.3 μB per formula unit

abc: 9.331 9.331 9.331
angles: 17.33 17.33 17.33
Sites, in units of the cell vectors:
Be 0.000 0.000 0.000
V 0.500 0.500 0.500
Au 0.402 0.402 0.402
Au 0.598 0.598 0.598


Record 21
VASP calculation (PBE-GGA) on BeV3Au after structural relaxation.

Computed properties:
SG   Pm-3m, No. 221
Total magnetic moment   8.3 μB per formula unit
Relative energy among the computed polymorphs   1320.5 meV/atom

abc: 4.876 4.876 4.876
angles: 90.00 90.00 90.00
Sites, in units of the cell vectors:
Be 0.000 0.000 0.000
V 0.000 0.500 0.500
V 0.500 0.000 0.500
V 0.500 0.500 0.000
Au 0.500 0.500 0.500


Record 22
VASP calculation (PBE-GGA) on BeVAu2 after structural relaxation.

Computed properties:
SG   I-42d, No. 122
Total magnetic moment   1.4 μB per formula unit

abc: 9.176 9.176 9.176
angles: 155.63 155.63 34.74
Sites, in units of the cell vectors:
Be 0.000 0.000 0.000
Be 0.750 0.250 0.500
V 0.250 0.750 0.500
V 0.500 0.500 0.000
Au 0.113 0.625 0.988
Au 0.375 0.363 0.488
Au 0.637 0.125 0.012
Au 0.875 0.887 0.512


Record 23
VASP calculation (PBE-GGA) on BeVAu2 after structural relaxation.

Computed properties:
SG   P4/mmm, No. 123
Total magnetic moment   1.3 μB per formula unit

abc: 2.906 2.906 6.853
angles: 90.00 90.00 90.00
Sites, in units of the cell vectors:
Be 0.000 0.000 0.000
V 0.000 0.000 0.500
Au 0.500 0.500 0.217
Au 0.500 0.500 0.783


| no. | theoretical density (g cm⁻³) | energy (eV per atom) |
| --- | --- | --- |
| 1 | 9.20 | -3.1677 |
| 2 | 12.81 | -3.1385 |
| 3 | 10.41 | -2.8724 |
| 4 | 10.19 | -2.9829 |
| 5 | 14.31 | -3.7851 |
| 6 | 10.93 | -4.3964 |
| 7 | 13.59 | -3.8354 |
| 8 | 11.14 | -4.3534 |
| 9 | 15.32 | -3.7578 |
| 10 | 14.12 | -3.5872 |
| 11 | 14.24 | -3.5699 |
| 12 | 10.71 | -4.3564 |
| 13 | 13.19 | -3.3577 |
| 14 | 11.83 | -3.8989 |
| 15 | 14.65 | -4.1392 |
| 16 | 13.91 | -4.1872 |
| 17 | 14.14 | -4.3145 |
| 18 | 8.47 | -6.3900 |
| 19 | 7.25 | -4.2352 |
| 20 | 11.98 | -4.4606 |
| 21 | 5.14 | -5.0695 |
| 22 | 11.47 | -4.3920 |
| 23 | 13.03 | -4.8724 |